[1]
# SrHg2B

A relaxed structure of SrHg2B (PBE-GGA, Alexandria).

Summary:
Polymorph energy (0 for the lowest one) ... 0 meV/atom
Energy of formation ... 0.3340 eV/atom
Calculated volume ... 28.2 Å³/atom

Cell: 5.8008 5.8008 13.3986 Å, 90.00 90.00 90.00°
Space group I-42d (No. 122)
Asymmetric unit:
Sr (0.0000, 0.0000, 0.0000)
Hg (0.0618, 0.2500, 0.6250)
B (0.0000, 0.0000, 0.5000)

---

[2]
# SrHg2B

A relaxed structure of SrHg2B (PBE-GGA, Alexandria).

Summary:
Polymorph energy (0 for the lowest one) ... 247 meV/atom
Energy of formation ... 0.5812 eV/atom
Calculated volume ... 23.8 Å³/atom

Cell: 7.2435 7.2435 7.2435 Å, 90.00 90.00 90.00°
Space group Fm-3m (No. 225)
Asymmetric unit:
Sr (0.0000, 0.0000, 0.0000)
Hg (0.2500, 0.2500, 0.2500)
B (0.0000, 0.0000, 0.5000)

---

[3]
# Sr2HgB

A relaxed structure of Sr2HgB (PBE-GGA, Alexandria).

Summary:
Polymorph energy (0 for the lowest one) ... 0 meV/atom
Energy of formation ... 0.2795 eV/atom
Calculated volume ... 27.1 Å³/atom

Cell: 7.5717 7.5717 7.5717 Å, 90.00 90.00 90.00°
Space group Fm-3m (No. 225)
Asymmetric unit:
Sr (0.2500, 0.2500, 0.2500)
Hg (0.0000, 0.0000, 0.0000)
B (0.0000, 0.0000, 0.5000)

---

[4]
# Sr2HgB

A relaxed structure of Sr2HgB (PBE-GGA, Alexandria).

Summary:
Polymorph energy (0 for the lowest one) ... 151 meV/atom
Energy of formation ... 0.4310 eV/atom
Calculated volume ... 32.8 Å³/atom

Cell: 8.1758 8.1758 7.8477 Å, 90.00 90.00 90.00°
Space group I-42d (No. 122)
Asymmetric unit:
Sr (0.1899, 0.7500, 0.1250)
Hg (0.0000, 0.0000, 0.5000)
B (0.0000, 0.0000, 0.0000)

---

[5]
# SrHgBTe2

A relaxed structure of SrHgBTe2 (PBE-GGA, Alexandria).

Summary:
Calculated volume ... 27.3 Å³/atom
Energy relative to the elements, uncorrected ... 0.083 eV per atom

Cell: 5.0010 5.0010 5.4498 Å, 90.00 90.00 90.00°
Space group P4/mmm (No. 123)
Asymmetric unit:
Sr (0.0000, 0.0000, 0.0000)
Hg (0.5000, 0.5000, 0.0000)
B (0.0000, 0.0000, 0.5000)
Te (0.0000, 0.5000, 0.5000)

---

[6]
# SrZn2HgB

A relaxed structure of SrZn2HgB (PBE-GGA, Alexandria).

Summary:
Energy of formation ... 1.2542 eV/atom
Calculated volume ... 44.1 Å³/atom

Cell: 6.5122 6.5122 5.2016 Å, 90.00 90.00 90.00°
Space group P4/mmm (No. 123)
Asymmetric unit:
Sr (0.0000, 0.0000, 0.0000)
Zn (0.0000, 0.5000, 0.0000)
Hg (0.5000, 0.5000, 0.5000)
B (0.0000, 0.0000, 0.5000)

---

[7]
# SrZrHgB2

A relaxed structure of SrZrHgB2 (PBE-GGA, Alexandria).

Summary:
Polymorph energy (0 for the lowest one) ... 176 meV/atom
Energy of formation ... 1.7844 eV/atom
Calculated volume ... 22.4 Å³/atom

Cell: 4.4982 4.4982 5.5394 Å, 90.00 90.00 90.00°
Space group P4/mmm (No. 123)
Asymmetric unit:
Sr (0.0000, 0.0000, 0.0000)
Zr (0.5000, 0.5000, 0.0000)
Hg (0.0000, 0.0000, 0.5000)
B (0.0000, 0.5000, 0.5000)

---

[8]
# SrZrHgB2

A relaxed structure of SrZrHgB2 (PBE-GGA, Alexandria).

Summary:
Polymorph energy (0 for the lowest one) ... 0 meV/atom
Energy of formation ... 1.6080 eV/atom
Calculated volume ... 22.5 Å³/atom

Cell: 4.5567 4.5567 5.4237 Å, 90.00 90.00 90.00°
Space group P4/mmm (No. 123)
Asymmetric unit:
Sr (0.0000, 0.0000, 0.0000)
Zr (0.5000, 0.5000, 0.0000)
Hg (0.5000, 0.5000, 0.5000)
B (0.0000, 0.5000, 0.5000)

---

[9]
# TaHg3B

A relaxed structure of TaHg3B (PBE-GGA, Alexandria).

Summary:
Polymorph energy (0 for the lowest one) ... 566 meV/atom
Energy of formation ... 1.8014 eV/atom
Calculated volume ... 31.9 Å³/atom

Cell: 5.4239 5.4239 5.4239 Å, 90.00 90.00 90.00°
Space group Pm-3m (No. 221)
Asymmetric unit:
Ta (0.0000, 0.0000, 0.0000)
Hg (0.0000, 0.0000, 0.5000)
B (0.5000, 0.5000, 0.5000)

---

[10]
# Ta2HgB

A relaxed structure of Ta2HgB (PBE-GGA, Alexandria).

Summary:
Polymorph energy (0 for the lowest one) ... 363 meV/atom
Energy of formation ... 0.8290 eV/atom
Calculated volume ... 16.0 Å³/atom

Cell: 6.3468 6.3468 6.3468 Å, 90.00 90.00 90.00°
Space group Fm-3m (No. 225)
Asymmetric unit:
Ta (0.2500, 0.2500, 0.2500)
Hg (0.0000, 0.0000, 0.0000)
B (0.0000, 0.0000, 0.5000)

---

[11]
# Ta3HgB

A relaxed structure of Ta3HgB (PBE-GGA, Alexandria).

Summary:
Polymorph energy (0 for the lowest one) ... 0 meV/atom
Energy of formation ... 0.0461 eV/atom
Calculated volume ... 16.8 Å³/atom

Cell: 4.3835 4.3835 4.3835 Å, 90.00 90.00 90.00°
Space group Pm-3m (No. 221)
Asymmetric unit:
Ta (0.0000, 0.0000, 0.5000)
Hg (0.5000, 0.5000, 0.5000)
B (0.0000, 0.0000, 0.0000)

---

[12]
# TaHgB2

A relaxed structure of TaHgB2 (PBE-GGA, Alexandria).

Summary:
Energy of formation ... 0.9156 eV/atom
Calculated volume ... 14.1 Å³/atom

Cell: 6.0763 6.0763 6.1094 Å, 90.00 90.00 90.00°
Space group I-42d (No. 122)
Asymmetric unit:
Ta (0.0000, 0.0000, 0.0000)
Hg (0.0000, 0.0000, 0.5000)
B (0.2458, 0.7500, 0.1250)

---

Number 1: E_tot -30.51 eV per cell, size of the total moment 0.00 μB per formula unit. Number 2: E_tot -26.55 eV per cell, size of the total moment 0.00 μB per formula unit. Number 3: E_tot -36.90 eV per cell, size of the total moment 0.00 μB per formula unit. Number 4: E_tot -34.48 eV per cell, size of the total moment 1.00 μB per formula unit. Number 5: E_tot -14.53 eV per cell, size of the total moment 0.00 μB per formula unit. Number 6: E_tot -4.94 eV per cell, size of the total moment 1.87 μB per formula unit. Number 7: E_tot -14.96 eV per cell, size of the total moment 1.43 μB per formula unit. Number 8: E_tot -15.85 eV per cell, size of the total moment 0.98 μB per formula unit. Number 9: E_tot -10.43 eV per cell, size of the total moment 0.00 μB per formula unit. Number 10: E_tot -109.47 eV per cell, size of the total moment 0.00 μB per formula unit. Number 11: E_tot -42.31 eV per cell, size of the total moment 0.00 μB per formula unit. Number 12: E_tot -87.39 eV per cell, size of the total moment 0.00 μB per formula unit.